A plane-wave DFT calculation with PBE-GGA was carried out for crystalline HfSeIN2 at its relaxed geometry.

a b c (Å): 4.1008 4.1008 5.1721
angles (deg): 90.00 90.00 90.00
Sites, in units of the cell vectors:
Hf  0.0000  0.0000  0.0000
Se  0.5000  0.5000  0.5000
I  0.5000  0.5000  0.0000
N  0.0000  0.5000  0.5000
N  0.5000  0.0000  0.5000

- Energy relative to the elements, uncorrected: 163.9 kJ per mole of atoms
- Offset from the most stable computed form: 1.2929 eV per atom

---

A plane-wave DFT calculation with PBE-GGA was carried out for crystalline Li4Ac2Sn3Pb at its relaxed geometry.

a b c (Å): 4.7439 4.7439 11.1427
angles (deg): 90.00 90.00 90.00
Sites, in units of the cell vectors:
Li  0.0000  0.0000  0.0000
Li  0.0000  0.5000  0.3626
Li  0.5000  0.0000  0.6374
Li  0.5000  0.5000  0.0000
Ac  0.0000  0.5000  0.7609
Ac  0.5000  0.0000  0.2391
Sn  0.0000  0.0000  0.5000
Sn  0.0000  0.5000  0.1235
Sn  0.5000  0.0000  0.8765
Pb  0.5000  0.5000  0.5000

- Calculated formation energy: -530 meV per atom

---

A plane-wave DFT calculation with PBE-GGA was carried out for crystalline PmAsPdF at its relaxed geometry.

a b c (Å): 4.0522 4.0522 8.5614
angles (deg): 90.00 90.00 90.00
Sites, in units of the cell vectors:
Pm  0.2500  0.2500  0.1830
Pm  0.7500  0.7500  0.8170
As  0.2500  0.2500  0.6868
As  0.7500  0.7500  0.3132
Pd  0.2500  0.7500  0.5000
Pd  0.7500  0.2500  0.5000
F  0.2500  0.7500  0.0000
F  0.7500  0.2500  0.0000

- Energy relative to the elements, uncorrected: -185.3 kJ per mole of atoms